Crystalline BaV3F9 at its relaxed geometry. Source: Alexandria via LeMat-Bulk, functional PBE with a Hubbard U.

Summary:
Total magnetization in μB per atom: 0.6154
D(E_F) in states/eV/cell: 3.7
SG: P6/mmm
Energy in eV/atom: -6.09

Cell and atoms, written as POSCAR:
```
BaV3F9
1.0
7.5834 0.0000 0.0000
-3.7917 6.5674 0.0000
0.0000 0.0000 4.0253
Ba V F
1 3 9
Direct
0.0000 0.0000 0.0000
0.0000 0.5000 0.5000
0.5000 0.0000 0.5000
0.5000 0.5000 0.5000
0.0000 0.5000 0.0000
0.1887 0.3773 0.5000
0.1887 0.8113 0.5000
0.3773 0.1887 0.5000
0.5000 0.0000 0.0000
0.5000 0.5000 0.0000
0.6227 0.8113 0.5000
0.8113 0.1887 0.5000
0.8113 0.6227 0.5000
```